Compound: Li2TlAg6
Source: the Alexandria database
Functional: PBE
Structure: relaxed

E_form in eV per formula unit: -0.5
Polymorph energy (0 for the lowest one) in eV per atom: 0.000
ρ in Mg/m³: 8.7
Magnetic moment in μB per formula unit: 0.0
Electronic total energy in eV per atom: -2.6424

Cell lengths 5.144, 8.238, 8.238 Å; angles 72.18, 83.82, 83.82 degrees
Sites, in units of the cell vectors:
Tl 0.750 0.879 0.121
Ag 0.697 0.269 0.992
Ag 0.303 0.731 0.008
Ag 0.032 0.565 0.325
Li 0.402 0.538 0.783
Ag 0.468 0.675 0.435
Li 0.098 0.217 0.462
Ag 0.160 0.359 0.105
Ag 0.340 0.895 0.641
Li 0.902 0.783 0.538
Ag 0.660 0.105 0.359
Ag 0.840 0.641 0.895
Ag 0.803 0.008 0.731
Li 0.598 0.462 0.217
Ag 0.532 0.325 0.565
Ag 0.968 0.435 0.675
Ag 0.197 0.992 0.269
Tl 0.250 0.121 0.879